Here is a geometry-optimized AlAgW2 structure from Alexandria via LeMat-Bulk. Energies are from GGA-PBE.

```
8
Lattice="-3.6239 3.6239 2.6560 3.6239 -3.6239 2.6560 3.6239 3.6239 -2.6560" Properties=species:S:1:pos:R:3 pbc="T T T"
Al 0.0000 0.0000 0.0000
Al 0.0000 3.6239 1.3280
Ag 3.6239 0.0000 1.3280
Ag 0.0000 0.0000 2.6560
W 1.8119 1.7328 -0.6640
W 1.8911 -1.8119 3.3200
W 1.8119 1.8911 1.9920
W 1.7328 5.4358 0.6640
```

Summary:
E_form = 4.1 eV/f.u.